[1]
Computed, not measured: a geometry-optimized CsNaTlSe2 structure at the PBE-GGA level of DFT.

a = 7.0138 Å, b = 6.7202 Å, c = 8.2710 Å
α = 113.97°, β = 90.00°, γ = 90.00°
Last column: nearest neighbours and their distance in Å.
Element x y z (fractional)
Cs: 0.7651 0.2500 0.5000  8 Se 3.84-4.02, 2 Tl 4.12
Se: 0.2755 0.3712 0.7424  1 Tl 2.74, 2 Na 3.02
Tl: 0.0000 0.5000 0.0000  2 Se 2.74
Se: 0.7245 0.6288 0.2576  1 Tl 2.74, 2 Na 3.02
Na: 0.5000 0.7500 0.0000  4 Se 3.02, 2 Na 3.36
Tl: 0.0000 0.0000 0.0000  2 Se 2.74
Se: 0.7245 0.8712 0.7424  1 Tl 2.74, 2 Na 3.02
Se: 0.2755 0.1288 0.2576  1 Tl 2.74, 2 Na 3.02
Na: 0.5000 0.2500 0.0000  4 Se 3.02, 2 Na 3.36
Cs: 0.2349 0.7500 0.5000  8 Se 3.84-4.02, 2 Tl 4.12

Properties
E_form (uncorrected)   -659 meV/atom
Symmetry   Cmme (67)

[2]
Computed, not measured: a geometry-optimized Al4Os structure at the PBE-GGA level of DFT.

a = 9.0203 Å, b = 9.0593 Å, c = 9.0593 Å
α = 82.76°, β = 62.41°, γ = 62.41°
Last column: nearest neighbours and their distance in Å.
Element x y z (fractional)
Al: 0.1360 0.2997 0.2218  2 Os 2.47-2.52
Al: 0.2500 0.4089 0.5911  2 Os 2.42
Al: 0.6360 0.2218 0.2997  2 Os 2.47-2.52
Al: 0.5857 0.5973 0.1620  2 Os 2.50
Os: 0.8401 0.3662 0.2173  8 Al 2.41-2.59
Os: 0.2500 0.7766 0.2234  8 Al 2.46-2.60
Al: 0.2974 0.4867 0.2447  2 Os 2.46-2.48
Al: 0.0350 0.0442 0.1391  2 Os 2.59-2.60, 3 Al 2.75-2.86
Al: 0.7500 0.5911 0.4089  2 Os 2.42
Al: 0.9143 0.8380 0.4027  2 Os 2.50
Al: 0.0857 0.1620 0.5973  2 Os 2.50
Al: 0.4143 0.4027 0.8380  2 Os 2.50
Al: 0.8640 0.7003 0.7782  2 Os 2.47-2.52
Al: 0.5350 0.1391 0.0442  2 Os 2.59-2.60, 3 Al 2.75-2.86
Os: 0.6599 0.7827 0.6338  8 Al 2.41-2.59
Os: 0.3401 0.2173 0.3662  8 Al 2.41-2.59
Al: 0.3511 0.9635 0.2804  2 Os 2.46, 1 Al 2.75
Al: 0.8511 0.2804 0.9635  2 Os 2.46, 1 Al 2.75
Al: 0.5000 0.0000 0.5000  2 Os 2.41
Al: 0.1489 0.7196 0.0365  2 Os 2.46, 1 Al 2.75
Os: 0.1599 0.6338 0.7827  8 Al 2.41-2.59
Al: 0.9650 0.9558 0.8609  2 Os 2.59-2.60, 3 Al 2.75-2.86
Al: 0.7026 0.5133 0.7553  2 Os 2.46-2.48
Al: 0.0000 0.5000 0.0000  2 Os 2.41
Al: 0.4650 0.8609 0.9558  2 Os 2.59-2.60, 3 Al 2.75-2.86
Al: 0.2026 0.7553 0.5133  2 Os 2.46-2.48
Os: 0.7500 0.2234 0.7766  8 Al 2.46-2.60
Al: 0.7974 0.2447 0.4867  2 Os 2.46-2.48
Al: 0.6489 0.0365 0.7196  2 Os 2.46, 1 Al 2.75
Al: 0.3640 0.7782 0.7003  2 Os 2.47-2.52

Properties
Polymorph energy (0 for the lowest one)   53 meV per atom
Symmetry   C2/c (15)
Calculated formation energy   -211 meV per atom

[3]
Computed, not measured: a geometry-optimized MnAl2Cr structure at the PBE-GGA level of DFT.

a = 8.3765 Å, b = 8.3765 Å, c = 8.3765 Å
α = 18.85°, β = 18.85°, γ = 18.85°
Last column: nearest neighbours and their distance in Å.
Element x y z (fractional)
Al: 0.2450 0.2450 0.2450  3 Cr 2.65, 9 Al 2.74-2.82
Al: 0.0063 0.0063 0.0063  3 Mn 2.60, 9 Al 2.74-2.82
Mn: 0.7566 0.7566 0.7566  3 Cr 2.32
Cr: 0.4920 0.4920 0.4920  3 Mn 2.32

Properties
Symmetry   R3m (160)
Calculated formation energy   24 meV per atom

[4]
Computed, not measured: a geometry-optimized BeRe2P structure at the PBE-GGA level of DFT.

a = 2.8127 Å, b = 2.8127 Å, c = 7.5354 Å
α = 90.00°, β = 90.00°, γ = 116.88°
Last column: nearest neighbours and their distance in Å.
Element x y z (fractional)
Re: 0.0000 0.0000 0.5053  2 P 2.36, 2 Be 2.42
Re: 0.0000 0.0000 0.9947  2 P 2.36, 2 Be 2.42
P: 0.5000 0.5000 0.7500  4 Re 2.36
Be: 0.5000 0.5000 0.2500  4 Re 2.42

Properties
Polymorph energy (0 for the lowest one)   593 meV per atom
Symmetry   Cmmm (65)
Calculated formation energy   319 meV per atom

[5]
Computed, not measured: a geometry-optimized GaTe2C structure at the PBE-GGA level of DFT.

a = 4.8600 Å, b = 4.8600 Å, c = 4.8600 Å
α = 60.00°, β = 60.00°, γ = 60.00°
Last column: nearest neighbours and their distance in Å.
Element x y z (fractional)
Te: 0.7500 0.7500 0.7500  4 C 2.98, 4 Ga 2.98
C: 0.0000 0.0000 0.0000  8 Te 2.98
Ga: 0.5000 0.5000 0.5000  8 Te 2.98
Te: 0.2500 0.2500 0.2500  4 C 2.98, 4 Ga 2.98

Properties
Polymorph energy (0 for the lowest one)   525 meV per atom
E_form (uncorrected)   1464 meV/atom
Symmetry   Fm-3m (225)

Number 1: D(E_F) 1.6 states/eV/f.u., magnetization 0.0 μB per formula unit, E_tot -29.6 eV/cell. Number 2: D(E_F) 1.4 states/eV/f.u., magnetization 0.0 μB per formula unit, E_tot -163.5 eV/cell. Number 3: D(E_F) 4.4 states/eV/f.u., magnetization 0.0 μB per formula unit, E_tot -26.2 eV/cell. Number 4: D(E_F) 1.7 states/eV/f.u., magnetization 0.0 μB per formula unit, E_tot -32.8 eV/cell. Number 5: D(E_F) 3.5 states/eV/f.u., magnetization 0.0 μB per formula unit, E_tot -12.7 eV/cell.